# BeReSb2

A geometry-optimized BeReSb2 structure (GGA-PBEsol, Alexandria).

Output
formation energy (no corrections): 614.3 meV/atom
calculated volume: 70.4 Å³/cell
space-group type: P4/mmm, No. 123

Structure (CIF):
```
data_BeReSb2
_chemical_formula_sum 'Be1 Re1 Sb2'
_cell_length_a 3.2859
_cell_length_b 3.2859
_cell_length_c 6.5199
_cell_angle_alpha 90.00
_cell_angle_beta 90.00
_cell_angle_gamma 90.00
_symmetry_space_group_name_H-M 'P 1'
_symmetry_Int_Tables_number 1
_symmetry_space_group_name_Hall 'P 1'
loop_
_atom_site_label
_atom_site_fract_x
_atom_site_fract_y
_atom_site_fract_z
_atom_site_occupancy
Be1 0.0000 0.0000 0.0000 1
Re1 0.0000 0.0000 0.5000 1
Sb1 0.5000 0.5000 0.2545 1
Sb2 0.5000 0.5000 0.7455 1
```



# BeReSb2

A geometry-optimized BeReSb2 structure (GGA-PBEsol, Alexandria).

Output
formation energy (no corrections): 276.9 meV/atom
calculated volume: 70.0 Å³/cell
space-group type: Amm2, No. 38

Structure (CIF):
```
data_BeReSb2
_chemical_formula_sum 'Be1 Re1 Sb2'
_cell_length_a 4.2470
_cell_length_b 5.0104
_cell_length_c 5.0104
_cell_angle_alpha 41.05
_cell_angle_beta 90.00
_cell_angle_gamma 90.00
_symmetry_space_group_name_H-M 'P 1'
_symmetry_Int_Tables_number 1
_symmetry_space_group_name_Hall 'P 1'
loop_
_atom_site_label
_atom_site_fract_x
_atom_site_fract_y
_atom_site_fract_z
_atom_site_occupancy
Be1 0.0000 0.0000 0.0000 1
Re1 0.5000 0.8686 0.8686 1
Sb1 0.0000 0.2797 0.2797 1
Sb2 0.5000 0.5801 0.5801 1
```



# BeReSb2

A geometry-optimized BeReSb2 structure (GGA-PBEsol, Alexandria).

Output
formation energy (no corrections): 918.5 meV/atom
calculated volume: 72.0 Å³/cell
space-group type: Pmmm, No. 47

Structure (CIF):
```
data_BeReSb2
_chemical_formula_sum 'Be1 Re1 Sb2'
_cell_length_a 3.5077
_cell_length_b 4.1377
_cell_length_c 4.9584
_cell_angle_alpha 90.00
_cell_angle_beta 90.00
_cell_angle_gamma 90.00
_symmetry_space_group_name_H-M 'P 1'
_symmetry_Int_Tables_number 1
_symmetry_space_group_name_Hall 'P 1'
loop_
_atom_site_label
_atom_site_fract_x
_atom_site_fract_y
_atom_site_fract_z
_atom_site_occupancy
Be1 0.0000 0.0000 0.0000 1
Re1 0.5000 0.0000 0.5000 1
Sb1 0.0000 0.5000 0.5000 1
Sb2 0.5000 0.5000 0.0000 1
```



# BeReSb2

A geometry-optimized BeReSb2 structure (GGA-PBEsol, Alexandria).

Output
formation energy (no corrections): 353.8 meV/atom
calculated volume: 75.8 Å³/cell
space-group type: Imm2, No. 44

Structure (CIF):
```
data_BeReSb2
_chemical_formula_sum 'Be1 Re1 Sb2'
_cell_length_a 6.8763
_cell_length_b 6.8763
_cell_length_c 6.8763
_cell_angle_alpha 151.43
_cell_angle_beta 150.73
_cell_angle_gamma 41.36
_symmetry_space_group_name_H-M 'P 1'
_symmetry_Int_Tables_number 1
_symmetry_space_group_name_Hall 'P 1'
loop_
_atom_site_label
_atom_site_fract_x
_atom_site_fract_y
_atom_site_fract_z
_atom_site_occupancy
Be1 0.0000 0.0000 0.0000 1
Re1 0.1220 0.6220 0.5000 1
Sb1 0.4507 0.4507 0.0000 1
Sb2 0.7278 0.2278 0.5000 1
```



# BeRe2SbW

A geometry-optimized BeRe2SbW structure (GGA-PBEsol, Alexandria).

Output
formation energy (no corrections): 1842.6 meV/atom
calculated volume: 96.4 Å³/cell
space-group type: P4/mmm, No. 123

Structure (CIF):
```
data_BeRe2SbW
_chemical_formula_sum 'Be1 Re2 Sb1 W1'
_cell_length_a 4.7498
_cell_length_b 4.7498
_cell_length_c 4.2716
_cell_angle_alpha 90.00
_cell_angle_beta 90.00
_cell_angle_gamma 90.00
_symmetry_space_group_name_H-M 'P 1'
_symmetry_Int_Tables_number 1
_symmetry_space_group_name_Hall 'P 1'
loop_
_atom_site_label
_atom_site_fract_x
_atom_site_fract_y
_atom_site_fract_z
_atom_site_occupancy
Be1 0.0000 0.0000 0.0000 1
Re1 0.0000 0.5000 0.5000 1
Re2 0.5000 0.0000 0.5000 1
Sb1 0.5000 0.5000 0.0000 1
W1 0.0000 0.0000 0.5000 1
```



# ScBe4Re

A geometry-optimized ScBe4Re structure (GGA-PBEsol, Alexandria).

Output
calculated volume: 65.1 Å³/cell
calculated formation energy: -175 meV/atom
space-group type: F-43m, No. 216

Structure (CIF):
```
data_ScBe4Re
_chemical_formula_sum 'Sc1 Be4 Re1'
_cell_length_a 4.5158
_cell_length_b 4.5158
_cell_length_c 4.5158
_cell_angle_alpha 60.00
_cell_angle_beta 60.00
_cell_angle_gamma 60.00
_symmetry_space_group_name_H-M 'P 1'
_symmetry_Int_Tables_number 1
_symmetry_space_group_name_Hall 'P 1'
loop_
_atom_site_label
_atom_site_fract_x
_atom_site_fract_y
_atom_site_fract_z
_atom_site_occupancy
Sc1 0.0000 0.0000 0.0000 1
Be1 0.3766 0.3766 0.3766 1
Be2 0.3766 0.3766 0.8701 1
Be3 0.3766 0.8701 0.3766 1
Be4 0.8701 0.3766 0.3766 1
Re1 0.7500 0.7500 0.7500 1
```



# ScBeRe

A geometry-optimized ScBeRe structure (GGA-PBEsol, Alexandria).

Output
polymorph energy (0 for the lowest one): 0 meV per atom
calculated volume: 44.0 Å³/cell
calculated formation energy: 159 meV/atom
space-group type: P3m1, No. 156

Structure (CIF):
```
data_ScBeRe
_chemical_formula_sum 'Sc1 Be1 Re1'
_cell_length_a 4.3487
_cell_length_b 4.3487
_cell_length_c 2.6863
_cell_angle_alpha 90.00
_cell_angle_beta 90.00
_cell_angle_gamma 120.00
_symmetry_space_group_name_H-M 'P 1'
_symmetry_Int_Tables_number 1
_symmetry_space_group_name_Hall 'P 1'
loop_
_atom_site_label
_atom_site_fract_x
_atom_site_fract_y
_atom_site_fract_z
_atom_site_occupancy
Sc1 0.0000 0.0000 0.0000 1
Be1 0.3333 0.6667 0.5907 1
Re1 0.6667 0.3333 0.4286 1
```



# ScBeRe

A geometry-optimized ScBeRe structure (GGA-PBEsol, Alexandria).

Output
polymorph energy (0 for the lowest one): 768 meV per atom
calculated volume: 51.0 Å³/cell
calculated formation energy: 928 meV/atom
space-group type: F-43m, No. 216

Structure (CIF):
```
data_ScBeRe
_chemical_formula_sum 'Sc1 Be1 Re1'
_cell_length_a 4.1614
_cell_length_b 4.1614
_cell_length_c 4.1614
_cell_angle_alpha 60.00
_cell_angle_beta 60.00
_cell_angle_gamma 60.00
_symmetry_space_group_name_H-M 'P 1'
_symmetry_Int_Tables_number 1
_symmetry_space_group_name_Hall 'P 1'
loop_
_atom_site_label
_atom_site_fract_x
_atom_site_fract_y
_atom_site_fract_z
_atom_site_occupancy
Sc1 0.0000 0.0000 0.0000 1
Be1 0.5000 0.5000 0.5000 1
Re1 0.7500 0.7500 0.7500 1
```



# BeReSe2

A geometry-optimized BeReSe2 structure (GGA-PBEsol, Alexandria).

Output
formation energy (no corrections): 588.7 meV/atom
calculated volume: 58.8 Å³/cell
space-group type: P4/mmm, No. 123

Structure (CIF):
```
data_BeReSe2
_chemical_formula_sum 'Be1 Re1 Se2'
_cell_length_a 4.3809
_cell_length_b 4.3809
_cell_length_c 3.0656
_cell_angle_alpha 90.00
_cell_angle_beta 90.00
_cell_angle_gamma 90.00
_symmetry_space_group_name_H-M 'P 1'
_symmetry_Int_Tables_number 1
_symmetry_space_group_name_Hall 'P 1'
loop_
_atom_site_label
_atom_site_fract_x
_atom_site_fract_y
_atom_site_fract_z
_atom_site_occupancy
Be1 0.0000 0.0000 0.0000 1
Re1 0.5000 0.5000 0.0000 1
Se1 0.0000 0.5000 0.5000 1
Se2 0.5000 0.0000 0.5000 1
```



# BeRe3Se

A geometry-optimized BeRe3Se structure (GGA-PBEsol, Alexandria).

Output
formation energy (no corrections): 2034.6 meV/atom
calculated volume: 89.2 Å³/cell
space-group type: Pm-3m, No. 221

Structure (CIF):
```
data_BeRe3Se
_chemical_formula_sum 'Be1 Re3 Se1'
_cell_length_a 4.4684
_cell_length_b 4.4684
_cell_length_c 4.4684
_cell_angle_alpha 90.00
_cell_angle_beta 90.00
_cell_angle_gamma 90.00
_symmetry_space_group_name_H-M 'P 1'
_symmetry_Int_Tables_number 1
_symmetry_space_group_name_Hall 'P 1'
loop_
_atom_site_label
_atom_site_fract_x
_atom_site_fract_y
_atom_site_fract_z
_atom_site_occupancy
Be1 0.0000 0.0000 0.0000 1
Re1 0.0000 0.5000 0.5000 1
Re2 0.5000 0.0000 0.5000 1
Re3 0.5000 0.5000 0.0000 1
Se1 0.5000 0.5000 0.5000 1
```



# BeReSe2

A geometry-optimized BeReSe2 structure (GGA-PBEsol, Alexandria).

Output
formation energy (no corrections): 636.2 meV/atom
calculated volume: 63.1 Å³/cell
space-group type: Cmmm, No. 65

Structure (CIF):
```
data_BeReSe2
_chemical_formula_sum 'Be1 Re1 Se2'
_cell_length_a 3.2001
_cell_length_b 3.2001
_cell_length_c 7.3049
_cell_angle_alpha 90.00
_cell_angle_beta 90.00
_cell_angle_gamma 122.55
_symmetry_space_group_name_H-M 'P 1'
_symmetry_Int_Tables_number 1
_symmetry_space_group_name_Hall 'P 1'
loop_
_atom_site_label
_atom_site_fract_x
_atom_site_fract_y
_atom_site_fract_z
_atom_site_occupancy
Be1 0.0000 0.0000 0.0000 1
Re1 0.0000 0.0000 0.5000 1
Se1 0.5000 0.5000 0.2266 1
Se2 0.5000 0.5000 0.7734 1
```



# BeReSe2

A geometry-optimized BeReSe2 structure (GGA-PBEsol, Alexandria).

Output
formation energy (no corrections): 310.1 meV/atom
calculated volume: 64.2 Å³/cell
space-group type: C2/m, No. 12

Structure (CIF):
```
data_BeReSe2
_chemical_formula_sum 'Be1 Re1 Se2'
_cell_length_a 4.1982
_cell_length_b 4.1982
_cell_length_c 5.0724
_cell_angle_alpha 91.55
_cell_angle_beta 91.55
_cell_angle_gamma 45.95
_symmetry_space_group_name_H-M 'P 1'
_symmetry_Int_Tables_number 1
_symmetry_space_group_name_Hall 'P 1'
loop_
_atom_site_label
_atom_site_fract_x
_atom_site_fract_y
_atom_site_fract_z
_atom_site_occupancy
Be1 0.0000 0.0000 0.0000 1
Re1 0.5000 0.5000 0.5000 1
Se1 0.2041 0.2041 0.7344 1
Se2 0.7959 0.7959 0.2656 1
```



# BeRe4Si

A geometry-optimized BeRe4Si structure (GGA-PBEsol, Alexandria).

Output
formation energy (no corrections): 826.2 meV/atom
calculated volume: 92.7 Å³/cell
space-group type: F-43m, No. 216

Structure (CIF):
```
data_BeRe4Si
_chemical_formula_sum 'Be1 Re4 Si1'
_cell_length_a 5.0793
_cell_length_b 5.0793
_cell_length_c 5.0793
_cell_angle_alpha 60.00
_cell_angle_beta 60.00
_cell_angle_gamma 60.00
_symmetry_space_group_name_H-M 'P 1'
_symmetry_Int_Tables_number 1
_symmetry_space_group_name_Hall 'P 1'
loop_
_atom_site_label
_atom_site_fract_x
_atom_site_fract_y
_atom_site_fract_z
_atom_site_occupancy
Be1 0.0000 0.0000 0.0000 1
Re1 0.1242 0.6253 0.6253 1
Re2 0.6253 0.1242 0.6253 1
Re3 0.6253 0.6253 0.1242 1
Re4 0.6253 0.6253 0.6253 1
Si1 0.2500 0.2500 0.2500 1
```



# Be2ReSi

A geometry-optimized Be2ReSi structure (GGA-PBEsol, Alexandria).

Output
formation energy (no corrections): -248.5 meV/atom
calculated volume: 42.8 Å³/cell
space-group type: Imm2, No. 44

Structure (CIF):
```
data_Be2ReSi
_chemical_formula_sum 'Be2 Re1 Si1'
_cell_length_a 4.4348
_cell_length_b 4.4348
_cell_length_c 4.4348
_cell_angle_alpha 137.96
_cell_angle_beta 131.87
_cell_angle_gamma 65.79
_symmetry_space_group_name_H-M 'P 1'
_symmetry_Int_Tables_number 1
_symmetry_space_group_name_Hall 'P 1'
loop_
_atom_site_label
_atom_site_fract_x
_atom_site_fract_y
_atom_site_fract_z
_atom_site_occupancy
Be1 0.0000 0.0000 0.0000 1
Be2 0.7691 0.2691 0.5000 1
Re1 0.2518 0.7518 0.5000 1
Si1 0.5113 0.5113 0.0000 1
```



# Be2ReSi

A geometry-optimized Be2ReSi structure (GGA-PBEsol, Alexandria).

Output
formation energy (no corrections): 271.7 meV/atom
calculated volume: 46.9 Å³/cell
space-group type: Cmmm, No. 65

Structure (CIF):
```
data_Be2ReSi
_chemical_formula_sum 'Be2 Re1 Si1'
_cell_length_a 2.5498
_cell_length_b 2.5498
_cell_length_c 7.3475
_cell_angle_alpha 90.00
_cell_angle_beta 90.00
_cell_angle_gamma 100.74
_symmetry_space_group_name_H-M 'P 1'
_symmetry_Int_Tables_number 1
_symmetry_space_group_name_Hall 'P 1'
loop_
_atom_site_label
_atom_site_fract_x
_atom_site_fract_y
_atom_site_fract_z
_atom_site_occupancy
Be1 0.0000 0.0000 0.2475 1
Be2 0.0000 0.0000 0.7525 1
Re1 0.5000 0.5000 0.0000 1
Si1 0.5000 0.5000 0.5000 1
```



# BeRe3Si

A geometry-optimized BeRe3Si structure (GGA-PBEsol, Alexandria).

Output
formation energy (no corrections): 921.3 meV/atom
calculated volume: 68.3 Å³/cell
space-group type: Pm-3m, No. 221

Structure (CIF):
```
data_BeRe3Si
_chemical_formula_sum 'Be1 Re3 Si1'
_cell_length_a 4.0873
_cell_length_b 4.0873
_cell_length_c 4.0873
_cell_angle_alpha 90.00
_cell_angle_beta 90.00
_cell_angle_gamma 90.00
_symmetry_space_group_name_H-M 'P 1'
_symmetry_Int_Tables_number 1
_symmetry_space_group_name_Hall 'P 1'
loop_
_atom_site_label
_atom_site_fract_x
_atom_site_fract_y
_atom_site_fract_z
_atom_site_occupancy
Be1 0.0000 0.0000 0.0000 1
Re1 0.0000 0.0000 0.5000 1
Re2 0.0000 0.5000 0.0000 1
Re3 0.5000 0.0000 0.0000 1
Si1 0.5000 0.5000 0.5000 1
```



# Be2ReSi

A geometry-optimized Be2ReSi structure (GGA-PBEsol, Alexandria).

Output
formation energy (no corrections): 157.7 meV/atom
calculated volume: 44.6 Å³/cell
space-group type: F-43m, No. 216

Structure (CIF):
```
data_Be2ReSi
_chemical_formula_sum 'Be2 Re1 Si1'
_cell_length_a 3.9805
_cell_length_b 3.9805
_cell_length_c 3.9805
_cell_angle_alpha 60.00
_cell_angle_beta 60.00
_cell_angle_gamma 60.00
_symmetry_space_group_name_H-M 'P 1'
_symmetry_Int_Tables_number 1
_symmetry_space_group_name_Hall 'P 1'
loop_
_atom_site_label
_atom_site_fract_x
_atom_site_fract_y
_atom_site_fract_z
_atom_site_occupancy
Be1 0.0000 0.0000 0.0000 1
Be2 0.2500 0.2500 0.2500 1
Re1 0.5000 0.5000 0.5000 1
Si1 0.7500 0.7500 0.7500 1
```



# Be4ReSi

A geometry-optimized Be4ReSi structure (GGA-PBEsol, Alexandria).

Output
formation energy (no corrections): -202.2 meV/atom
calculated volume: 55.5 Å³/cell
space-group type: F-43m, No. 216

Structure (CIF):
```
data_Be4ReSi
_chemical_formula_sum 'Be4 Re1 Si1'
_cell_length_a 4.2826
_cell_length_b 4.2826
_cell_length_c 4.2826
_cell_angle_alpha 60.00
_cell_angle_beta 60.00
_cell_angle_gamma 60.00
_symmetry_space_group_name_H-M 'P 1'
_symmetry_Int_Tables_number 1
_symmetry_space_group_name_Hall 'P 1'
loop_
_atom_site_label
_atom_site_fract_x
_atom_site_fract_y
_atom_site_fract_z
_atom_site_occupancy
Be1 0.3771 0.3771 0.3771 1
Be2 0.3771 0.3771 0.8686 1
Be3 0.3771 0.8686 0.3771 1
Be4 0.8686 0.3771 0.3771 1
Re1 0.7500 0.7500 0.7500 1
Si1 0.0000 0.0000 0.0000 1
```



# Be2ReSi

A geometry-optimized Be2ReSi structure (GGA-PBEsol, Alexandria).

Output
formation energy (no corrections): -141.5 meV/atom
calculated volume: 43.8 Å³/cell
space-group type: Immm, No. 71

Structure (CIF):
```
data_Be2ReSi
_chemical_formula_sum 'Be2 Re1 Si1'
_cell_length_a 4.5066
_cell_length_b 4.5066
_cell_length_c 4.5066
_cell_angle_alpha 139.75
_cell_angle_beta 131.30
_cell_angle_gamma 64.96
_symmetry_space_group_name_H-M 'P 1'
_symmetry_Int_Tables_number 1
_symmetry_space_group_name_Hall 'P 1'
loop_
_atom_site_label
_atom_site_fract_x
_atom_site_fract_y
_atom_site_fract_z
_atom_site_occupancy
Be1 0.2504 0.2504 0.0000 1
Be2 0.7496 0.7496 0.0000 1
Re1 0.5000 0.0000 0.5000 1
Si1 0.0000 0.5000 0.5000 1
```



# BeRe3Sn

A geometry-optimized BeRe3Sn structure (GGA-PBEsol, Alexandria).

Output
calculated volume: 73.9 Å³/cell
calculated formation energy: 881 meV/atom
space-group type: Pm-3m, No. 221

Structure (CIF):
```
data_BeRe3Sn
_chemical_formula_sum 'Be1 Re3 Sn1'
_cell_length_a 4.1957
_cell_length_b 4.1957
_cell_length_c 4.1957
_cell_angle_alpha 90.00
_cell_angle_beta 90.00
_cell_angle_gamma 90.00
_symmetry_space_group_name_H-M 'P 1'
_symmetry_Int_Tables_number 1
_symmetry_space_group_name_Hall 'P 1'
loop_
_atom_site_label
_atom_site_fract_x
_atom_site_fract_y
_atom_site_fract_z
_atom_site_occupancy
Be1 0.0000 0.0000 0.0000 1
Re1 0.0000 0.0000 0.5000 1
Re2 0.0000 0.5000 0.0000 1
Re3 0.5000 0.0000 0.0000 1
Sn1 0.5000 0.5000 0.5000 1
```